# 1
12
Lattice="5.427 0.000 0.000 -2.714 4.700 0.000 0.000 0.000 13.308" Properties=species:S:1:pos:R:3 comment="Pm3TlHg2 PBE-GGA relaxed" delta_e_f_ev_per_atom=-0.443 dos_at_fermi_per_ev_fu=6.20 sg=P-3m1 total_magnetization_mub_per_cell=2.9 pbc="T T T"
Pm 0.000 0.000 3.276
Pm 0.000 0.000 10.032
Pm 0.000 3.134 5.533
Pm 0.000 3.134 12.236
Pm 2.714 1.567 1.072
Pm 2.714 1.567 7.776
Tl 0.000 3.134 8.871
Tl 2.714 1.567 4.437
Hg 0.000 0.000 0.000
Hg 0.000 0.000 6.654
Hg 0.000 3.134 2.204
Hg 2.714 1.567 11.104



# 2
16
Lattice="3.404 0.000 0.000 0.000 3.404 0.000 0.000 0.000 13.520" Properties=species:S:1:pos:R:3 comment="Be3Ir PBE-GGA relaxed" delta_e_f_ev_per_atom=-0.429 dos_at_fermi_per_ev_fu=0.79 sg=I4/mmm total_magnetization_mub_per_cell=0.0 pbc="T T T"
Be 0.000 0.000 1.712
Be 0.000 0.000 11.809
Be 0.000 1.702 0.000
Be 0.000 1.702 3.380
Be 0.000 1.702 6.760
Be 0.000 1.702 10.140
Be 1.702 0.000 0.000
Be 1.702 0.000 3.380
Be 1.702 0.000 6.760
Be 1.702 0.000 10.140
Be 1.702 1.702 5.049
Be 1.702 1.702 8.472
Ir 0.000 0.000 5.110
Ir 0.000 0.000 8.410
Ir 1.702 1.702 1.650
Ir 1.702 1.702 11.871



# 3
5
Lattice="4.624 0.000 0.000 0.000 4.624 0.000 0.000 0.000 4.490" Properties=species:S:1:pos:R:3 comment="Si2MoRhSe PBE-GGA relaxed" formation_energy_uncorrected_ev_per_atom=1.4027 dos_at_fermi_per_ev_fu=6.44 sg=P4/mmm total_magnetization_mub_per_cell=0.0 pbc="T T T"
Si 0.000 2.312 0.000
Si 2.312 0.000 0.000
Mo 0.000 0.000 2.245
Rh 2.312 2.312 2.245
Se 2.312 2.312 0.000



# 4
4
Lattice="4.718 0.000 0.000 0.000 4.718 0.000 0.000 0.000 4.718" Properties=species:S:1:pos:R:3 comment="Ce3Zr PBE-GGA relaxed" e_above_lowest_polymorph_mev_per_atom=25 delta_e_f_ev_per_atom=0.106 dos_at_fermi_per_ev_fu=10.49 sg=Pm-3m total_magnetization_mub_per_cell=0.0 pbc="T T T"
Ce 0.000 0.000 2.359
Ce 0.000 2.359 0.000
Ce 2.359 0.000 0.000
Zr 2.359 2.359 2.359



# 5
9
Lattice="7.597 0.000 0.000 -3.798 6.579 0.000 0.000 0.000 4.898" Properties=species:S:1:pos:R:3 comment="La2Os PBE-GGA relaxed" delta_e_f_ev_per_atom=-0.097 dos_at_fermi_per_ev_fu=1.50 sg=P-62m total_magnetization_mub_per_cell=0.0 pbc="T T T"
La -1.048 1.816 0.000
La -2.290 3.967 2.449
La 2.097 0.000 0.000
La 1.508 2.612 2.449
La 4.580 0.000 2.449
La 2.750 4.763 0.000
Os 0.000 0.000 2.449
Os 0.000 4.386 0.000
Os 3.798 2.193 0.000



# 6
5
Lattice="5.306 0.000 0.000 0.000 5.306 0.000 0.000 0.000 5.306" Properties=species:S:1:pos:R:3 comment="CsMgSe3 PBE-GGA relaxed" formation_energy_uncorrected_ev_per_atom=-0.4869 e_above_lowest_polymorph_mev_per_atom=0 dos_at_fermi_per_ev_fu=6.52 sg=Pm-3m total_magnetization_mub_per_cell=0.0 pbc="T T T"
Cs 0.000 0.000 0.000
Mg 2.653 2.653 2.653
Se 0.000 2.653 2.653
Se 2.653 0.000 2.653
Se 2.653 2.653 0.000



# 7
8
Lattice="4.214 0.000 0.000 0.000 4.171 0.000 0.000 0.000 12.003" Properties=species:S:1:pos:R:3 comment="BaCoAs2 PBE-GGA relaxed" delta_e_f_ev_per_atom=-0.412 dos_at_fermi_per_ev_fu=2.57 sg=Amm2 total_magnetization_mub_per_cell=0.0 pbc="T T T"
Ba 0.000 0.000 0.000
Ba 0.000 2.086 6.002
Co 2.107 0.000 9.274
Co 2.107 2.086 3.272
As 0.000 0.000 8.626
As 0.000 2.086 2.625
As 2.107 0.000 4.332
As 2.107 2.086 10.334



# 8
16
Lattice="11.973 0.000 0.000 0.000 7.260 0.000 -5.986 0.000 6.014" Properties=species:S:1:pos:R:3 comment="Ag2BrCl PBE-GGA relaxed" formation_energy_uncorrected_ev_per_atom=-0.3688 e_above_lowest_polymorph_mev_per_atom=20 dos_at_fermi_per_ev_fu=0.00 sg=C2 total_magnetization_mub_per_cell=0.0 pbc="T T T"
Ag 1.475 0.000 0.002
Ag 0.002 3.871 1.823
Ag -0.002 0.241 4.190
Ag -1.475 3.630 6.012
Ag 7.461 3.630 0.002
Ag 5.989 0.241 1.823
Ag 5.984 3.871 4.190
Ag 4.512 0.000 6.012
Br -4.026 4.637 6.011
Br 4.027 1.007 0.003
Br 1.960 1.007 6.011
Br 10.013 4.637 0.003
Cl -0.001 1.259 1.861
Cl 0.001 4.889 4.153
Cl 5.986 4.889 1.861
Cl 5.987 1.259 4.153



# 9
12
Lattice="4.055 0.000 0.000 -2.027 3.511 0.000 0.000 0.000 30.985" Properties=species:S:1:pos:R:3 comment="GdBi2Sb PBE-GGA relaxed" formation_energy_uncorrected_ev_per_atom=0.2409 e_above_lowest_polymorph_mev_per_atom=669 dos_at_fermi_per_ev_fu=6.10 sg=R-3m total_magnetization_mub_per_cell=23.2 pbc="T T T"
Gd 0.000 0.000 0.000
Gd 0.000 2.341 20.657
Gd 2.027 1.170 10.328
Bi 0.000 0.000 3.153
Bi 0.000 0.000 27.831
Bi 0.000 2.341 17.503
Bi 0.000 2.341 23.810
Bi 2.027 1.170 7.175
Bi 2.027 1.170 13.482
Sb 0.000 0.000 15.492
Sb 0.000 2.341 5.164
Sb 2.027 1.170 25.821



# 10
18
Lattice="1.966 -8.517 0.000 1.966 8.517 0.000 0.000 0.000 11.908" Properties=species:S:1:pos:R:3 comment="Ac2HfNiS5 PBE-GGA relaxed" formation_energy_uncorrected_ev_per_atom=-1.7126 dos_at_fermi_per_ev_fu=0.79 sg=Cmc2_1 total_magnetization_mub_per_cell=0.0 pbc="T T T"
Ac 1.966 6.544 5.954
Ac 1.966 6.402 1.505
Ac 1.966 -6.402 7.459
Ac 1.966 -6.544 0.000
Hf 1.966 5.392 9.720
Hf 1.966 -5.392 3.766
Ni 1.966 1.265 2.899
Ni 1.966 -1.265 8.853
S 1.966 7.802 10.026
S 1.966 3.465 5.550
S 1.966 3.313 2.042
S 1.966 2.688 9.708
S 1.966 0.004 1.001
S 1.966 -0.004 6.955
S 1.966 -2.688 3.754
S 1.966 -3.313 7.996
S 1.966 -3.465 11.504
S 1.966 -7.802 4.072



# 11
4
Lattice="2.580 0.000 0.000 0.000 4.237 0.000 0.000 0.000 5.255" Properties=species:S:1:pos:R:3 comment="LiAlRe2 PBE-GGA relaxed" delta_e_f_ev_per_atom=0.192 dos_at_fermi_per_ev_fu=2.78 sg=Pmmm total_magnetization_mub_per_cell=0.0 pbc="T T T"
Li 0.000 0.000 0.000
Al 0.000 0.000 2.627
Re 1.290 2.118 1.280
Re 1.290 2.118 3.975



# 12
12
Lattice="3.449 -6.159 0.000 3.449 6.159 0.000 0.000 0.000 9.745" Properties=species:S:1:pos:R:3 comment="TbPrSm4 PBE-GGA relaxed" e_above_lowest_polymorph_mev_per_atom=125 delta_e_f_ev_per_atom=0.231 dos_at_fermi_per_ev_fu=8.63 sg=Cmcm total_magnetization_mub_per_cell=0.0 pbc="T T T"
Tb 0.000 0.000 0.000
Tb 0.000 0.000 4.872
Pr 3.449 3.958 7.308
Pr 3.449 -3.958 2.436
Sm 1.796 1.287 7.308
Sm 3.449 1.884 0.709
Sm 3.449 1.884 4.163
Sm 1.796 -1.287 2.436
Sm 5.102 1.287 7.308
Sm 3.449 -1.884 5.581
Sm 3.449 -1.884 9.036
Sm 5.102 -1.287 2.436



# 13
5
Lattice="4.318 0.000 0.000 0.000 4.318 0.000 0.000 0.000 6.343" Properties=species:S:1:pos:R:3 comment="InHgTeN2 PBE-GGA relaxed" formation_energy_uncorrected_ev_per_atom=1.3076 e_above_lowest_polymorph_mev_per_atom=0 dos_at_fermi_per_ev_fu=2.40 sg=P4/mmm total_magnetization_mub_per_cell=3.5 pbc="T T T"
In 0.000 0.000 0.000
Hg 2.159 2.159 3.171
Te 0.000 0.000 3.171
N 0.000 2.159 0.000
N 2.159 0.000 0.000



# 14
12
Lattice="2.285 -9.411 0.000 2.285 9.411 0.000 0.000 0.000 5.483" Properties=species:S:1:pos:R:3 comment="HfZr2Pd3 PBE-GGA relaxed" e_above_lowest_polymorph_mev_per_atom=0 delta_e_f_ev_per_atom=-0.459 dos_at_fermi_per_ev_fu=5.74 sg=Cmcm total_magnetization_mub_per_cell=0.0 pbc="T T T"
Hf 2.285 5.834 4.112
Hf 2.285 -5.834 1.371
Zr 2.285 2.616 4.112
Zr 2.285 0.579 1.371
Zr 2.285 -0.579 4.112
Zr 2.285 -2.616 1.371
Pd 2.285 8.026 0.069
Pd 2.285 8.026 2.673
Pd 2.285 5.117 1.371
Pd 2.285 -5.117 4.112
Pd 2.285 -8.026 2.810
Pd 2.285 -8.026 5.415



# 15
5
Lattice="4.462 0.000 0.000 0.000 4.462 0.000 0.000 0.000 4.462" Properties=species:S:1:pos:R:3 comment="KCoRu3 PBE-GGA relaxed" e_above_lowest_polymorph_mev_per_atom=1730 delta_e_f_ev_per_atom=3.279 dos_at_fermi_per_ev_fu=10.71 sg=Pm-3m total_magnetization_mub_per_cell=0.0 pbc="T T T"
K 0.000 0.000 0.000
Co 2.231 2.231 2.231
Ru 0.000 0.000 2.231
Ru 0.000 2.231 0.000
Ru 2.231 0.000 0.000



# 16
16
Lattice="6.764 0.000 0.000 0.000 6.764 0.000 0.000 0.000 6.764" Properties=species:S:1:pos:R:3 comment="ZnCr2Bi PBE-GGA relaxed" e_above_lowest_polymorph_mev_per_atom=0 delta_e_f_ev_per_atom=0.548 dos_at_fermi_per_ev_fu=2.35 sg=Fm-3m total_magnetization_mub_per_cell=32.1 pbc="T T T"
Zn 0.000 0.000 0.000
Zn 0.000 3.382 3.382
Zn 3.382 0.000 3.382
Zn 3.382 3.382 0.000
Cr 1.691 1.691 1.691
Cr 1.691 1.691 5.073
Cr 1.691 5.073 1.691
Cr 1.691 5.073 5.073
Cr 5.073 1.691 1.691
Cr 5.073 1.691 5.073
Cr 5.073 5.073 1.691
Cr 5.073 5.073 5.073
Bi 0.000 0.000 3.382
Bi 0.000 3.382 0.000
Bi 3.382 0.000 0.000
Bi 3.382 3.382 3.382



# 17
8
Lattice="3.240 0.000 0.000 0.000 6.096 0.000 0.000 0.000 7.248" Properties=species:S:1:pos:R:3 comment="CuRhCl2 PBE-GGA relaxed" formation_energy_uncorrected_ev_per_atom=0.1599 e_above_lowest_polymorph_mev_per_atom=339 dos_at_fermi_per_ev_fu=2.98 sg=Immm total_magnetization_mub_per_cell=0.0 pbc="T T T"
Cu 0.000 0.000 0.000
Cu 1.620 3.048 3.624
Rh 0.000 0.000 3.624
Rh 1.620 3.048 0.000
Cl 0.000 3.048 1.786
Cl 0.000 3.048 5.462
Cl 1.620 0.000 1.838
Cl 1.620 0.000 5.410



# 18
12
Lattice="-4.788 5.961 2.952 4.788 -5.961 2.952 4.788 5.961 -2.952" Properties=species:S:1:pos:R:3 comment="Na3Hg2Pd PBE-GGA relaxed" e_above_lowest_polymorph_mev_per_atom=4 delta_e_f_ev_per_atom=-0.198 dos_at_fermi_per_ev_fu=2.12 sg=Ibam total_magnetization_mub_per_cell=0.0 pbc="T T T"
Na 5.989 2.302 0.000
Na 0.000 0.000 1.476
Na 1.201 3.659 0.000
Na 3.587 2.302 2.952
Na 0.000 0.000 4.428
Na -1.201 3.659 2.952
Hg 2.606 0.917 0.000
Hg 2.606 -0.917 2.952
Hg 2.182 6.878 0.000
Hg 2.182 5.043 2.952
Pd 4.788 0.000 1.476
Pd 0.000 5.961 1.476



# 19
10
Lattice="2.148 -7.098 0.000 2.148 7.098 0.000 0.000 0.000 5.020" Properties=species:S:1:pos:R:3 comment="ZnGa2Pd2 PBE-GGA relaxed" e_above_lowest_polymorph_mev_per_atom=42 delta_e_f_ev_per_atom=-0.463 dos_at_fermi_per_ev_fu=1.99 sg=Cmc2_1 total_magnetization_mub_per_cell=0.0 pbc="T T T"
Zn 2.148 5.249 2.510
Zn 2.148 -5.249 0.000
Ga 2.148 2.388 3.240
Ga 2.148 0.595 0.975
Ga 2.148 -0.595 3.485
Ga 2.148 -2.388 0.731
Pd 2.148 6.269 0.024
Pd 2.148 3.268 0.724
Pd 2.148 -3.268 3.234
Pd 2.148 -6.269 2.534



# 20
4
Lattice="4.222 0.000 0.000 0.000 4.222 0.000 0.000 0.000 7.073" Properties=species:S:1:pos:R:3 comment="CeEuBi2 PBE-GGA relaxed" e_above_lowest_polymorph_mev_per_atom=0 delta_e_f_ev_per_atom=-0.722 dos_at_fermi_per_ev_fu=9.51 sg=P4/mmm total_magnetization_mub_per_cell=8.5 pbc="T T T"
Ce 0.000 0.000 0.000
Eu 0.000 0.000 3.536
Bi 2.111 2.111 1.704
Bi 2.111 2.111 5.369